[1]
Computed, not measured: RbNiPPd after structural relaxation at the PBE-GGA level of DFT.

abc: 3.8206 3.8206 12.4954
angles: 90.00 90.00 90.00
Closest atoms and distances in Å follow each position.
Space group P4/nmm (No. 129, origin choice 2)
Asymmetric unit:
Rb1 0.2500 0.2500 0.2314  4 Pd 3.47, 4 P 3.50, 4 Rb 3.82, 4 Ni 3.86
Ni1 0.2500 0.7500 0.5000  4 P 2.22
P1 0.2500 0.2500 0.5904  4 Ni 2.22
Pd1 0.2500 0.7500 0.0000  4 Pd 2.70

Values from the calculation:
ΔH_f (0 K)   -0.22 eV per atom

[2]
Computed, not measured: La2Al3Sn after structural relaxation at the PBE-GGA level of DFT.

abc: 4.4331 4.5105 7.8286
angles: 90.00 90.00 90.00
Closest atoms and distances in Å follow each position.
Space group Pmm2 (No. 25)
Asymmetric unit:
La1 0.0000 0.0000 0.0000  8 Al 3.38-3.52, 4 Sn 3.42
La2 0.0000 0.5000 0.4932  10 Al 3.34-3.42, 2 Sn 3.46
Al1 0.5000 0.0000 0.3257  3 Al 2.54-2.55
Al2 0.5000 0.0000 0.6504  1 Al 2.54, 2 Sn 2.67
Al3 0.5000 0.5000 0.1742  2 Al 2.55, 1 Sn 2.67
Sn1 0.5000 0.5000 0.8329  3 Al 2.67

Values from the calculation:
ΔH_f (0 K)   -0.56 eV per atom

[3]
Computed, not measured: Tb8Te4PPt3 after structural relaxation at the PBE-GGA level of DFT.

abc: 8.3573 8.3573 21.6912
angles: 90.00 90.00 120.00
Closest atoms and distances in Å follow each position.
Space group R-3m (No. 166, hexagonal axes)
Asymmetric unit:
Tb1 0.0000 0.0000 0.2367  3 Pt 2.85
Tb2 0.9996 0.4998 0.2378  2 Pt 2.86, 1 P 2.87, 3 Te 3.18
Te1 0.0000 0.0000 0.0000  6 Tb 3.18
Te2 0.0000 0.5000 0.0000  6 Tb 3.18-3.20
P1 0.0000 0.0000 0.5000  6 Tb 2.87
Pt1 0.0000 0.5000 0.5000  6 Tb 2.85-2.86

Values from the calculation:
Raw formation energy   -1318 meV per atom

[4]
Computed, not measured: CsNdCu2Cl8 after structural relaxation at the PBE-GGA level of DFT.

abc: 9.6955 7.6456 10.8602
angles: 90.00 90.36 90.00
Closest atoms and distances in Å follow each position.
Space group C2/m (No. 12)
Asymmetric unit:
Cs1 0.0000 0.0000 0.0000  6 Cl 3.48-3.72
Nd1 0.0000 0.0000 0.5000  6 Cl 2.77
Cu1 0.1194 0.5000 0.2940  4 Cl 2.19-2.31
Cl1 0.0145 0.2283 0.3024  1 Cu 2.31
Cl2 0.1579 0.5000 0.0959  1 Cu 2.19
Cl3 0.2152 0.5000 0.4845  1 Cu 2.26

Values from the calculation:
Raw formation energy   -1292 meV per atom

[5]
Computed, not measured: ZrCdAu4 after structural relaxation at the PBE-GGA level of DFT.

abc: 7.7962 7.7962 7.7962
angles: 90.00 90.00 90.00
Closest atoms and distances in Å follow each position.
Space group F-43m (No. 216)
Asymmetric unit:
Zr1 0.0000 0.0000 0.0000  12 Au 3.23, 4 Cd 3.38
Cd1 0.2500 0.2500 0.2500  12 Au 3.23, 4 Zr 3.38
Au1 0.1250 0.1250 0.6250  6 Au 2.76

Values from the calculation:
ΔH_f (0 K)   -0.14 eV per atom

[6]
Computed, not measured: La3ScI after structural relaxation at the PBE-GGA level of DFT.

abc: 5.9363 5.9363 5.9363
angles: 90.00 90.00 90.00
Closest atoms and distances in Å follow each position.
Space group Pm-3m (No. 221)
Asymmetric unit:
La1 0.0000 0.0000 0.5000  2 I 2.97
Sc1 0.5000 0.5000 0.5000  12 La 4.20
I1 0.0000 0.0000 0.0000  6 La 2.97

Values from the calculation:
Raw formation energy   123 meV per atom

[7]
Computed, not measured: Sm3Ga2Ni7 after structural relaxation at the PBE-GGA level of DFT.

abc: 5.2055 5.2055 24.0459
angles: 90.00 90.00 120.00
Closest atoms and distances in Å follow each position.
Space group R-3m (No. 166, hexagonal axes)
Asymmetric unit:
Sm1 0.0000 0.0000 0.0000  6 Ga 3.01, 12 Ni 3.26
Sm2 0.0000 0.0000 0.1412  12 Ni 2.97-3.07, 3 Sm 3.25
Ga1 0.0000 0.0000 0.3313  6 Ni 2.45-2.49
Ni1 0.0000 0.0000 0.5000  6 Ni 2.52
Ni2 0.0062 0.5031 0.0816  2 Ga 2.45-2.49, 5 Ni 2.52-2.65

Values from the calculation:
ΔH_f (0 K)   -0.45 eV per atom

[8]
Computed, not measured: KLaZr2 after structural relaxation at the PBE-GGA level of DFT.

abc: 11.5117 3.2032 7.7360
angles: 90.00 93.52 90.00
Closest atoms and distances in Å follow each position.
Space group C2/m (No. 12)
Asymmetric unit:
K1 0.0000 0.0000 0.0000  2 K 3.20
La1 0.0000 0.5000 0.5000  2 La 3.20, 6 Zr 3.32-3.34
Zr1 0.2383 0.0000 0.6585  4 Zr 2.95-3.20

Values from the calculation:
ΔH_f (0 K)   0.59 eV per atom

[9]
Computed, not measured: TmMg3Rh4 after structural relaxation at the PBE-GGA level of DFT.

abc: 4.4930 4.4930 6.4067
angles: 90.00 90.00 90.00
Closest atoms and distances in Å follow each position.
Space group P4/mmm (No. 123)
Asymmetric unit:
Tm1 0.0000 0.0000 0.0000  8 Rh 2.79
Mg1 0.0000 0.0000 0.5000  8 Rh 2.73
Mg2 0.5000 0.5000 0.0000  8 Rh 2.79
Mg3 0.5000 0.5000 0.5000  8 Rh 2.73
Rh1 0.0000 0.5000 0.2589  6 Mg 2.73-2.79, 2 Tm 2.79

Values from the calculation:
ΔH_f (0 K)   -0.64 eV per atom

[10]
Computed, not measured: CrTe2SI after structural relaxation at the PBE-GGA level of DFT.

abc: 5.2597 5.2597 5.5659
angles: 90.00 90.00 90.00
Closest atoms and distances in Å follow each position.
Space group P4/mmm (No. 123)
Asymmetric unit:
Cr1 0.0000 0.0000 0.0000  4 I 3.72, 8 Te 3.83
Te1 0.0000 0.5000 0.5000  2 S 2.63
S1 0.5000 0.5000 0.5000  4 Te 2.63, 2 I 2.78
I1 0.5000 0.5000 0.0000  2 S 2.78

Values from the calculation:
Raw formation energy   716 meV per atom

[11]
Computed, not measured: NaTc3N after structural relaxation at the PBE-GGA level of DFT.

abc: 4.1083 4.1083 4.1083
angles: 90.00 90.00 90.00
Closest atoms and distances in Å follow each position.
Space group Pm-3m (No. 221)
Asymmetric unit:
Na1 0.0000 0.0000 0.0000  12 Tc 2.91
Tc1 0.0000 0.5000 0.5000  2 N 2.05
N1 0.5000 0.5000 0.5000  6 Tc 2.05

Values from the calculation:
Raw formation energy   476 meV per atom

[12]
Computed, not measured: TiIrCSe2 after structural relaxation at the PBE-GGA level of DFT.

abc: 4.8168 4.8168 4.8328
angles: 90.00 90.00 90.00
Closest atoms and distances in Å follow each position.
Space group P4/mmm (No. 123)
Asymmetric unit:
Ti1 0.0000 0.0000 0.0000  2 Ir 2.42
Ir1 0.0000 0.0000 0.5000  4 Se 2.41, 2 Ti 2.42
C1 0.5000 0.5000 0.0000  4 Ti 3.41, 8 Se 3.41
Se1 0.0000 0.5000 0.5000  2 Ir 2.41

Values from the calculation:
Raw formation energy   1714 meV per atom

Magnetization per entry: 0.00; 0.00; 0.00; 4.27; 0.00; 0.00; 0.00; 0.00; 0.00; 3.85; 0.00; 0.85 μB per cell